Entry 1:
Density functional theory data (GGA-PBE) for a geometry-optimized TbPm2ErSc structure.

Unit cell a=6.991 b=6.991 c=7.147 alpha=90.00 beta=90.00 gamma=108.26
Fractional positions:
Tb: 0.229 0.771 0.750
Tb: 0.771 0.229 0.250
Pm: 0.199 0.199 0.000
Pm: 0.199 0.199 0.500
Pm: 0.801 0.801 0.000
Pm: 0.801 0.801 0.500
Er: 0.238 0.762 0.250
Er: 0.762 0.238 0.750
Sc: 0.492 0.508 0.750
Sc: 0.508 0.492 0.250

Computed properties:
Total magnetic moment   0.0000 μB/atom
DFT formation energy   0.3694 eV/atom

Entry 2:
Density functional theory data (GGA-PBE) for a geometry-optimized TaBe3Rh structure.

Unit cell a=4.296 b=4.296 c=4.296 alpha=90.00 beta=90.00 gamma=90.00
Fractional positions:
Ta: 0.000 0.000 0.000
Be: 0.000 0.000 0.500
Be: 0.000 0.500 0.000
Be: 0.500 0.000 0.000
Rh: 0.500 0.500 0.500

Computed properties:
Total magnetic moment   0.0000 μB/atom
Energy above the lowest structure with this stoichiometry   1.381 eV/atom
DFT formation energy   1.7350 eV/atom

Entry 3:
Density functional theory data (GGA-PBE) for a geometry-optimized Rb2PtIBr6 structure.

Unit cell a=7.605 b=7.620 c=8.850 alpha=98.53 beta=107.07 gamma=118.81
Fractional positions:
Rb: 0.000 0.000 0.000
Rb: 0.140 0.533 0.669
Pt: 0.575 0.271 0.835
I: 0.602 0.798 0.335
Br: 0.165 0.056 0.661
Br: 0.517 0.498 0.044
Br: 0.528 0.034 0.008
Br: 0.591 0.003 0.625
Br: 0.623 0.508 0.660
Br: 0.984 0.488 0.009

Computed properties:
Total magnetic moment   0.0000 μB/atom
Energy above the lowest structure with this stoichiometry   0.000 eV/atom
E_form (uncorrected)   -825 meV per atom

no.,electronic total energy (eV for the cell shown)
1,-46.36
2,-21.71
3,-27.81